(1)
Below is an optimized crystal structure of InHPb, with properties calculated at the PBE level.

V, Å³ per atom: 22.52
E_tot, eV per atom: -3.16
Polymorph energy (0 for the lowest one), meV/atom: 40.5
Symmetry: P1, No. 1
DOS(E_F), states/eV/f.u.: 0.84
Calculated density, g/cm³: 7.9

a = 4.8528 Å, b = 5.7077 Å, c = 5.8504 Å
α = 77.53°, β = 66.68°, γ = 65.48°
Atoms (fractional coordinates):
In  0.0000  0.0000  0.0000
In  0.3873  0.4224  0.8170
H  0.7671  0.7933  0.6918
H  0.8107  0.8243  0.5514
Pb  0.2043  0.1810  0.4110
Pb  0.5993  0.5883  0.2242

=====

(2)
Below is an optimized crystal structure of InHPb, with properties calculated at the PBE level.

V, Å³ per atom: 22.02
E_tot, eV per atom: -3.02
Polymorph energy (0 for the lowest one), meV/atom: 174.8
Symmetry: P-1, No. 2
DOS(E_F), states/eV/f.u.: 0.61
Calculated density, g/cm³: 8.1

a = 3.6161 Å, b = 5.5299 Å, c = 6.6129 Å
α = 89.35°, β = 88.18°, γ = 88.39°
Atoms (fractional coordinates):
In  0.0226  0.2228  0.1245
In  0.9774  0.7772  0.8755
H  0.4840  0.6569  0.8885
H  0.5160  0.3431  0.1115
Pb  0.2033  0.2437  0.6082
Pb  0.7967  0.7563  0.3918

=====

(3)
Below is an optimized crystal structure of In4HPb2, with properties calculated at the PBE level.

V, Å³ per atom: 26.11
E_tot, eV per atom: -2.91
Symmetry: I4/mmm, No. 139
DOS(E_F), states/eV/f.u.: 3.80
Calculated density, g/cm³: 7.9

a = 9.3552 Å, b = 9.3552 Å, c = 9.3552 Å
α = 151.77°, β = 151.77°, γ = 40.34°
Atoms (fractional coordinates):
In  0.0000  0.5000  0.5000
In  0.1737  0.1737  0.0000
In  0.5000  0.0000  0.5000
In  0.8263  0.8263  0.0000
H  0.0000  0.0000  0.0000
Pb  0.3565  0.3565  0.0000
Pb  0.6435  0.6435  0.0000

=====

(4)
Below is an optimized crystal structure of In2H2Pb, with properties calculated at the PBE level.

V, Å³ per atom: 18.84
E_tot, eV per atom: -2.90
Polymorph energy (0 for the lowest one), meV/atom: 176.5
Symmetry: I4/mmm, No. 139
DOS(E_F), states/eV/f.u.: 1.60
Calculated density, g/cm³: 7.7

a = 7.7886 Å, b = 7.7886 Å, c = 7.7886 Å
α = 153.46°, β = 153.46°, γ = 37.89°
Atoms (fractional coordinates):
In  0.1568  0.1568  0.0000
In  0.8432  0.8432  0.0000
H  0.2500  0.7500  0.5000
H  0.7500  0.2500  0.5000
Pb  0.5000  0.5000  0.0000